# Dy2Ho2Er7 (PBE-GGA, optimized geometry)
# ΔH_f (0 K) (eV per atom): 0.164
data_Dy2Ho2Er7
_symmetry_space_group_name_H-M 'C 1 2/m 1'
_symmetry_Int_Tables_number 12
_symmetry_space_group_name_Hall '-C 2y'
_cell_length_a 11.0180
_cell_length_b 11.3854
_cell_length_c 5.9751
_cell_angle_alpha 90.00
_cell_angle_beta 113.43
_cell_angle_gamma 90.00
loop_
_atom_site_label
_atom_site_type_symbol
_atom_site_fract_x
_atom_site_fract_y
_atom_site_fract_z
Dy1 Dy 0.0000 0.2148 0.0000
Ho1 Ho 0.0906 0.5000 0.3046
Er1 Er 0.0000 0.0000 0.5000
Er2 Er 0.1737 0.2371 0.6761
Er3 Er 0.2313 0.0000 0.0830